Entry 1:
# K12Tl3Au5, relaxed, DFT GGA-PBE
# DOS at the Fermi energy   122.10 states/eV per cell
# VASP energy   -1.87 eV/atom
data_K12Tl3Au5
_symmetry_space_group_name_H-M 'I a -3 d'
_symmetry_Int_Tables_number 230
_symmetry_space_group_name_Hall '-I 4bd 2c 3'
_cell_length_a 20.265
_cell_length_b 20.265
_cell_length_c 20.265
_cell_angle_alpha 90.00
_cell_angle_beta 90.00
_cell_angle_gamma 90.00
loop_
_atom_site_label
_atom_site_type_symbol
_atom_site_fract_x
_atom_site_fract_y
_atom_site_fract_z
K1 K 0.024 0.066 0.650
Tl1 Tl 0.000 0.250 0.125
Au1 Au 0.000 0.000 0.000
Au2 Au 0.000 0.250 0.375

Entry 2:
# K4Tl2Au3, relaxed, DFT GGA-PBE
# DOS at the Fermi energy   9.32 states/eV per cell
# VASP energy   -2.29 eV/atom
data_K4Tl2Au3
_symmetry_space_group_name_H-M 'C 1 2/m 1'
_symmetry_Int_Tables_number 12
_cell_length_a 19.593
_cell_length_b 4.238
_cell_length_c 8.255
_cell_angle_alpha 90.00
_cell_angle_beta 109.41
_cell_angle_gamma 90.00
loop_
_symmetry_equiv_pos_as_xyz
'x,y,z'
'-x,-y,-z'
'-x,y,-z'
'x,-y,z'
'x+1/2,y+1/2,z'
'-x+1/2,-y+1/2,-z'
'-x+1/2,y+1/2,-z'
'x+1/2,-y+1/2,z'
loop_
_atom_site_label
_atom_site_type_symbol
_atom_site_fract_x
_atom_site_fract_y
_atom_site_fract_z
K1 K 0.059 0.000 0.374
K2 K 0.244 0.000 0.773
Tl1 Tl 0.103 0.000 0.989
Au1 Au 0.000 0.500 0.000
Au2 Au 0.102 0.500 0.735

Entry 3:
# KTl6Au, relaxed, DFT GGA-PBE
# Excess energy over the best structure of this formula in the dataset   6 meV per atom
# DOS at the Fermi energy   6.51 states/eV per cell
# VASP energy   -2.35 eV/atom
data_KTl6Au
_symmetry_space_group_name_H-M 'A m m 2'
_symmetry_Int_Tables_number 38
_cell_length_a 4.986
_cell_length_b 8.417
_cell_length_c 11.472
_cell_angle_alpha 90.00
_cell_angle_beta 90.00
_cell_angle_gamma 90.00
loop_
_symmetry_equiv_pos_as_xyz
'x,y,z'
'-x,-y,z'
'-x,y,z'
'x,-y,z'
'x,y+1/2,z+1/2'
'-x,-y+1/2,z+1/2'
'-x,y+1/2,z+1/2'
'x,-y+1/2,z+1/2'
loop_
_atom_site_label
_atom_site_type_symbol
_atom_site_fract_x
_atom_site_fract_y
_atom_site_fract_z
K1 K 0.000 0.000 0.000
Tl1 Tl 0.000 0.243 0.256
Tl2 Tl 0.500 0.000 0.229
Tl3 Tl 0.500 0.000 0.763
Tl4 Tl 0.500 0.199 0.496
Au1 Au 0.000 0.000 0.538

Entry 4:
# K4Tl5Au, relaxed, DFT GGA-PBE
# DOS at the Fermi energy   16.25 states/eV per cell
# VASP energy   -2.05 eV/atom
data_K4Tl5Au
_symmetry_space_group_name_H-M 'I 4'
_symmetry_Int_Tables_number 79
_cell_length_a 10.446
_cell_length_b 10.446
_cell_length_c 7.092
_cell_angle_alpha 90.00
_cell_angle_beta 90.00
_cell_angle_gamma 90.00
loop_
_symmetry_equiv_pos_as_xyz
'x,y,z'
'-y,x,z'
'-x,-y,z'
'y,-x,z'
'x+1/2,y+1/2,z+1/2'
'-y+1/2,x+1/2,z+1/2'
'-x+1/2,-y+1/2,z+1/2'
'y+1/2,-x+1/2,z+1/2'
loop_
_atom_site_label
_atom_site_type_symbol
_atom_site_fract_x
_atom_site_fract_y
_atom_site_fract_z
K1 K 0.054 0.696 0.000
Tl1 Tl 0.000 0.000 0.201
Tl2 Tl 0.088 0.796 0.512
Au1 Au 0.000 0.000 0.794

Entry 5:
# K2Tl3Au, relaxed, DFT GGA-PBE
# DOS at the Fermi energy   6.82 states/eV per cell
# VASP energy   -2.28 eV/atom
data_K2Tl3Au
_symmetry_space_group_name_H-M 'C 1 m 1'
_symmetry_Int_Tables_number 8
_cell_length_a 12.104
_cell_length_b 5.280
_cell_length_c 8.537
_cell_angle_alpha 90.00
_cell_angle_beta 132.83
_cell_angle_gamma 90.00
loop_
_symmetry_equiv_pos_as_xyz
'x,y,z'
'x,-y,z'
'x+1/2,y+1/2,z'
'x+1/2,-y+1/2,z'
loop_
_atom_site_label
_atom_site_type_symbol
_atom_site_fract_x
_atom_site_fract_y
_atom_site_fract_z
K1 K 0.000 0.000 0.000
K2 K 0.135 0.000 0.624
Tl1 Tl 0.239 0.500 0.401
Tl2 Tl 0.389 0.000 0.206
Tl3 Tl 0.431 0.000 0.619
Au1 Au 0.233 0.500 0.050

Entry 6:
# K4TlAu, relaxed, DFT GGA-PBE
# DOS at the Fermi energy   20.45 states/eV per cell
# VASP energy   -1.40 eV/atom
data_K4TlAu
_symmetry_space_group_name_H-M 'F -4 3 m'
_symmetry_Int_Tables_number 216
_symmetry_space_group_name_Hall 'F -4 2 3'
_cell_length_a 10.225
_cell_length_b 10.225
_cell_length_c 10.225
_cell_angle_alpha 90.00
_cell_angle_beta 90.00
_cell_angle_gamma 90.00
loop_
_atom_site_label
_atom_site_type_symbol
_atom_site_fract_x
_atom_site_fract_y
_atom_site_fract_z
K1 K 0.124 0.124 0.376
Tl1 Tl 0.000 0.000 0.000
Au1 Au 0.250 0.250 0.750